A relaxed structure of Ba3Ti2VO9. Source: Alexandria, functional PBE+U.

abc: 5.685 5.685 6.984
angles: 90.00 90.00 120.00
Fractional positions:
Ba1 0.333 0.667 0.666
Ba2 0.000 0.000 0.000
Ba3 0.667 0.333 0.334
Ti1 0.333 0.667 0.167
Ti2 0.667 0.333 0.833
V1 0.000 0.000 0.500
O1 0.834 0.166 0.666
O2 0.834 0.668 0.666
O3 0.332 0.166 0.666
O4 0.668 0.834 0.334
O5 0.166 0.332 0.334
O6 0.166 0.834 0.334
O7 0.500 0.000 0.000
O8 0.000 0.500 0.000
O9 0.500 0.500 0.000

Properties
D(E_F), states/eV/f.u.: 3.30
DFT total energy, hartree per atom: -0.28416
Crystal system: trigonal